# TePbSeI2 | Alexandria | GGA-PBEsol | relaxed
# * total magnetic moment: 0.00 μB/cell
# * energy relative to the elements, uncorrected: 0.145 eV per atom
data_TePbSeI2
_symmetry_space_group_name_H-M 'P 4/m m m'
_symmetry_Int_Tables_number 123
_symmetry_space_group_name_Hall '-P 4 2'
_cell_length_a 5.5287
_cell_length_b 5.5287
_cell_length_c 5.6381
_cell_angle_alpha 90.00
_cell_angle_beta 90.00
_cell_angle_gamma 90.00
loop_
_atom_site_label
_atom_site_type_symbol
_atom_site_fract_x
_atom_site_fract_y
_atom_site_fract_z
Te1 Te 0.0000 0.0000 0.0000
Pb1 Pb 0.5000 0.5000 0.0000
Se1 Se 0.0000 0.0000 0.5000
I1 I 0.0000 0.5000 0.5000